A relaxed Ca4Ac3La2 crystal, computed with PBE.

DFT formation energy, eV per atom: 0.0526
DOS(E_F), states/eV/cell: 12.2
Total magnetization, μB/atom: 0.000

abc: 4.0856 9.8737 9.7625
angles: 101.98 102.08 90.00
Closest atoms and distances in Å follow each position.
Sites, in units of the cell vectors:
Ca: 0.5501 0.3503 0.1003  5 Ca 3.67-4.09, 6 Ac 3.95-4.11
Ac: 0.0000 0.0000 0.0000  4 La 3.86, 4 Ca 3.96, 4 Ac 4.09-4.17
Ca: 0.4499 0.6497 0.8997  5 Ca 3.67-4.09, 6 Ac 3.95-4.11
La: 0.3256 0.9645 0.6511  2 Ca 3.69, 4 La 3.72-4.09, 5 Ac 3.74-4.02
La: 0.6744 0.0355 0.3489  2 Ca 3.69, 4 La 3.72-4.09, 5 Ac 3.74-4.02
Ac: 0.8694 0.2892 0.7387  3 La 3.74-4.02, 7 Ca 3.82-4.13, 3 Ac 4.09-4.17
Ca: 0.7895 0.6463 0.5791  4 Ca 3.60-3.67, 2 La 3.69, 2 Ac 3.82
Ac: 0.1306 0.7108 0.2613  3 La 3.74-4.02, 7 Ca 3.82-4.13, 3 Ac 4.09-4.17
Ca: 0.2105 0.3537 0.4209  4 Ca 3.60-3.67, 2 La 3.69, 2 Ac 3.82

A relaxed Li2Pm2YIn5 crystal, computed with PBE.

DFT formation energy, eV per atom: -0.4226
DOS(E_F), states/eV/cell: 11.3
Total magnetization, μB/atom: 0.000

abc: 4.5073 10.3487 10.3487
angles: 90.00 90.00 90.00
Closest atoms and distances in Å follow each position.
Sites, in units of the cell vectors:
In: 0.5000 0.0000 0.5000  4 Li 2.83, 4 In 3.07
Li: 0.0000 0.3830 0.1170  6 In 2.83-2.91, 3 Pm 3.01-3.11
Y: 0.0000 0.5000 0.5000  8 In 3.22
In: 0.5000 0.2118 0.0695  2 Li 2.91, 2 In 3.07-3.20, 2 Y 3.22
Pm: 0.0000 0.3228 0.8228  3 Li 3.01-3.11
Li: 0.0000 0.8830 0.3830  6 In 2.83-2.91, 3 Pm 3.01-3.11
Y: 0.0000 0.0000 0.0000  8 In 3.22
Pm: 0.0000 0.6772 0.1772  3 Li 3.01-3.11
In: 0.5000 0.7882 0.9305  2 Li 2.91, 2 In 3.07-3.20, 2 Y 3.22
In: 0.5000 0.0695 0.7882  2 Li 2.91, 2 In 3.07-3.20, 2 Y 3.22
Li: 0.0000 0.1170 0.6170  6 In 2.83-2.91, 3 Pm 3.01-3.11
In: 0.5000 0.4305 0.2882  2 Li 2.91, 2 In 3.07-3.20, 2 Y 3.22
Pm: 0.0000 0.1772 0.3228  3 Li 3.01-3.11
In: 0.5000 0.2882 0.5695  2 Li 2.91, 2 In 3.07-3.20, 2 Y 3.22
In: 0.5000 0.9305 0.2118  2 Li 2.91, 2 In 3.07-3.20, 2 Y 3.22
Pm: 0.0000 0.8228 0.6772  3 Li 3.01-3.11
In: 0.5000 0.5000 0.0000  4 Li 2.83, 4 In 3.07
In: 0.5000 0.5695 0.7118  2 Li 2.91, 2 In 3.07-3.20, 2 Y 3.22
In: 0.5000 0.7118 0.4305  2 Li 2.91, 2 In 3.07-3.20, 2 Y 3.22
Li: 0.0000 0.6170 0.8830  6 In 2.83-2.91, 3 Pm 3.01-3.11

A relaxed TaB2PH crystal, computed with PBE.

DOS(E_F), states/eV/cell: 2.9
Total magnetization, μB/atom: 0.000
Electronic total energy, eV/atom: -6.00

abc: 3.9516 3.9516 3.1394
angles: 90.00 90.00 90.00
Closest atoms and distances in Å follow each position.
Sites, in units of the cell vectors:
P: 0.0000 0.0000 0.0000  2 H 1.57
B: 0.5000 0.0000 0.0000  2 P 1.98
Ta: 0.5000 0.5000 0.5000  8 B 2.52, 4 H 2.79
B: 0.0000 0.5000 0.0000  2 P 1.98
H: 0.0000 0.0000 0.5000  2 P 1.57

A relaxed Cr2MoRh crystal, computed with PBE.

DFT formation energy, eV per atom: 0.1213
DOS(E_F), states/eV/cell: 4.7
Total magnetization, μB/atom: 0.000

abc: 2.6321 2.6321 8.2427
angles: 90.00 90.00 109.09
Closest atoms and distances in Å follow each position.
Sites, in units of the cell vectors:
Cr: 0.0000 0.0000 0.0114  6 Cr 2.39-2.63, 2 Rh 2.55
Cr: 0.5000 0.5000 0.2345  6 Cr 2.39-2.63, 2 Mo 2.61
Rh: 0.5000 0.5000 0.7634  2 Cr 2.55, 4 Rh 2.63, 2 Mo 2.72
Mo: 0.0000 0.0000 0.4907  2 Cr 2.61, 4 Mo 2.63, 2 Rh 2.72

A relaxed LiMn3N4 crystal, computed with PBE.

DOS(E_F), states/eV/cell: 12.0
Total magnetization, μB/atom: 0.021
Uncorrected formation energy, meV/atom: -292

abc: 5.0247 5.2750 6.1992
angles: 90.00 90.00 90.00
Closest atoms and distances in Å follow each position.
Sites, in units of the cell vectors:
N: 0.6167 0.2197 0.5000  3 Mn 1.82-1.84
Li: 0.5068 0.8432 0.5000  4 N 2.06-2.18
N: 0.1551 0.3365 0.7209  3 Mn 1.81-1.82
Mn: 0.0142 0.6521 0.7411  4 N 1.81-1.83
Mn: 0.4804 0.8161 0.0000  4 N 1.81-1.85
Mn: 0.9804 0.1839 0.5000  4 N 1.81-1.85
Li: 0.0068 0.1568 0.0000  4 N 2.06-2.18
N: 0.6551 0.6635 0.2209  3 Mn 1.81-1.82
N: 0.1167 0.7803 0.0000  3 Mn 1.82-1.84
Mn: 0.5142 0.3479 0.7589  4 N 1.81-1.83
Mn: 0.0142 0.6521 0.2589  4 N 1.81-1.83
N: 0.1551 0.3365 0.2791  3 Mn 1.81-1.82
N: 0.0727 0.8438 0.5000  3 Mn 1.83-1.85
Mn: 0.5142 0.3479 0.2411  4 N 1.81-1.83
N: 0.6551 0.6635 0.7791  3 Mn 1.81-1.82
N: 0.5727 0.1562 0.0000  3 Mn 1.83-1.85

A relaxed NaCaPr2Se4 crystal, computed with PBE.

DOS(E_F), states/eV/cell: 2.7
Total magnetization, μB/atom: 0.000
Uncorrected formation energy, meV/atom: -1796

abc: 4.2463 7.4031 7.3481
angles: 70.78 90.00 90.00
Closest atoms and distances in Å follow each position.
Sites, in units of the cell vectors:
Se: 0.0000 0.7459 0.7528  2 Ca 2.99, 1 Na 3.00, 3 Pr 3.01-3.03
Ca: 0.5000 0.5000 0.0000  6 Se 2.99
Se: 0.0000 0.2541 0.2472  2 Ca 2.99, 1 Na 3.00, 3 Pr 3.01-3.03
Na: 0.0000 0.5000 0.5000  6 Se 3.00-3.02
Se: 0.5000 0.2493 0.7529  1 Ca 2.99, 3 Pr 3.00-3.02, 2 Na 3.02
Pr: 0.5000 0.0000 0.5000  6 Se 3.02-3.03
Se: 0.5000 0.7507 0.2471  1 Ca 2.99, 3 Pr 3.00-3.02, 2 Na 3.02
Pr: 0.0000 0.0000 0.0000  6 Se 3.00-3.01

A relaxed LaDyAlGe crystal, computed with PBE.

DFT formation energy, eV per atom: -0.6599
DOS(E_F), states/eV/cell: 3.1
Total magnetization, μB/atom: 0.002

abc: 4.5121 4.1148 6.0520
angles: 90.00 111.89 90.00
Closest atoms and distances in Å follow each position.
Sites, in units of the cell vectors:
La: 0.7504 0.5000 0.5009  4 Ge 3.15, 3 Al 3.18-3.32
Ge: 0.3208 0.0000 0.6417  2 Al 2.63
Al: 0.4672 0.5000 0.9344  2 Ge 2.63
Dy: 0.0311 0.0000 0.0623  4 Al 3.14, 3 Ge 3.25-3.27

A relaxed Li2InAs crystal, computed with PBE.

DFT formation energy, eV per atom: -0.3973
DOS(E_F), states/eV/cell: 1.8
Total magnetization, μB/atom: 0.000

abc: 4.1893 4.1893 4.1441
angles: 90.00 90.00 90.00
Closest atoms and distances in Å follow each position.
Sites, in units of the cell vectors:
As: 0.5000 0.0000 0.5000  8 Li 2.95, 4 In 2.96
In: 0.0000 0.5000 0.5000  8 Li 2.95, 4 As 2.96
Li: 0.0000 0.0000 0.0000  4 As 2.95, 4 In 2.95, 4 Li 2.96
Li: 0.5000 0.5000 0.0000  4 In 2.95, 4 As 2.95, 4 Li 2.96

A relaxed Mg2ZrTlP crystal, computed with PBE.

DFT formation energy, eV per atom: 0.9949
DOS(E_F), states/eV/cell: 5.4
Total magnetization, μB/atom: 0.000

abc: 5.0723 5.3244 5.0723
angles: 90.00 90.00 90.00
Closest atoms and distances in Å follow each position.
Sites, in units of the cell vectors:
Mg: 0.0000 0.0000 0.5000  2 Tl 2.54
Mg: 0.5000 0.0000 0.0000  2 Tl 2.54
Zr: 0.5000 0.5000 0.5000  4 P 3.59, 8 Mg 3.68
Tl: 0.0000 0.0000 0.0000  4 Mg 2.54, 2 P 2.66
P: 0.0000 0.5000 0.0000  2 Tl 2.66

A relaxed Tb2ErCo2 crystal, computed with PBE.

DFT formation energy, eV per atom: -0.1396
Excess energy over the best structure of this formula in the dataset, kJ/mol of formula units: 9
DOS(E_F), states/eV/cell: 9.5
Total magnetization, μB/atom: 0.000

abc: 3.8013 6.4591 9.5753
angles: 82.73 78.55 72.89
Closest atoms and distances in Å follow each position.
Sites, in units of the cell vectors:
Co: 0.9910 0.1250 0.8931  1 Co 2.44, 2 Tb 2.71
Tb: 0.3354 0.2552 0.0741  4 Co 2.71-3.02
Tb: 0.6646 0.7448 0.9259  4 Co 2.71-3.02
Tb: 0.4652 0.3753 0.6944  6 Co 2.89-3.01
Tb: 0.5348 0.6247 0.3056  6 Co 2.89-3.01
Co: 0.8938 0.6654 0.5470  1 Co 2.28
Er: 0.2148 0.9321 0.6382  4 Co 2.69-2.93
Co: 0.1062 0.3346 0.4530  1 Co 2.28
Co: 0.0090 0.8750 0.1069  1 Co 2.44, 2 Tb 2.71
Er: 0.7852 0.0679 0.3618  4 Co 2.69-2.93

A relaxed BeHgSb2 crystal, computed with PBE.

Excess energy over the best structure of this formula in the dataset, kJ/mol of formula units: 67
DOS(E_F), states/eV/cell: 1.8
Total magnetization, μB/atom: 0.000
Uncorrected formation energy, meV/atom: 360

abc: 5.7304 5.7304 5.7304
angles: 140.63 121.97 72.39
Closest atoms and distances in Å follow each position.
Sites, in units of the cell vectors:
Be: 0.2500 0.7500 0.5000  4 Sb 2.50
Sb: 0.0781 0.0781 0.0000  2 Be 2.50
Hg: 0.7500 0.2500 0.5000  4 Sb 3.20, 4 Be 3.38
Sb: 0.4219 0.4219 0.0000  2 Be 2.50

A relaxed CaHg4W crystal, computed with PBE.

DFT formation energy, eV per atom: 0.5880
DOS(E_F), states/eV/cell: 3.6
Total magnetization, μB/atom: 0.568

abc: 5.8109 5.8109 5.8109
angles: 60.00 60.00 60.00
Closest atoms and distances in Å follow each position.
Sites, in units of the cell vectors:
Hg: 0.8738 0.3754 0.3754  6 Hg 2.90-2.91
W: 0.7500 0.7500 0.7500  12 Hg 3.41, 4 Ca 3.56
Hg: 0.3754 0.3754 0.3754  6 Hg 2.90-2.91
Ca: 0.0000 0.0000 0.0000  12 Hg 3.41, 4 W 3.56
Hg: 0.3754 0.8738 0.3754  6 Hg 2.90-2.91
Hg: 0.3754 0.3754 0.8738  6 Hg 2.90-2.91